Arrangement i

# Pu3BiSe2 (PBE, relaxed)
# - Fermi-level density of states (states/eV/f.u.) = 31.11
data_Pu3BiSe2
_chemical_formula_sum 'Pu12 Bi4 Se8'
_space_group_name_H-M_alt 'C 1 2/c 1'
_space_group_IT_number 15
_cell_length_a 7.401
_cell_length_b 12.919
_cell_length_c 7.449
_cell_angle_alpha 90.00
_cell_angle_beta 109.56
_cell_angle_gamma 90.00
loop_
_space_group_symop_operation_xyz
'x,y,z'
'-x,-y,-z'
'-x,y,-z+1/2'
'x,-y,z+1/2'
'x+1/2,y+1/2,z'
'-x+1/2,-y+1/2,-z'
'-x+1/2,y+1/2,-z+1/2'
'x+1/2,-y+1/2,z+1/2'
loop_
_atom_site_label
_atom_site_type_symbol
_atom_site_fract_x
_atom_site_fract_y
_atom_site_fract_z
_atom_site_occupancy
Pu1 Pu 0.223 0.092 0.495 1
Pu2 Pu 0.250 0.250 0.000 1
Bi1 Bi 0.000 0.424 0.750 1
Se1 Se 0.000 0.084 0.750 1
Se2 Se 0.000 0.258 0.250 1


Arrangement ii

# Pu3BiSe2 (PBE, relaxed)
# - Fermi-level density of states (states/eV/f.u.) = 24.68
data_Pu3BiSe2
_chemical_formula_sum 'Pu12 Bi4 Se8'
_space_group_name_H-M_alt 'C m c m'
_space_group_IT_number 63
_space_group_name_Hall '-C 2c 2'
_cell_length_a 4.835
_cell_length_b 13.854
_cell_length_c 9.879
_cell_angle_alpha 90.00
_cell_angle_beta 90.00
_cell_angle_gamma 90.00
loop_
_atom_site_label
_atom_site_type_symbol
_atom_site_fract_x
_atom_site_fract_y
_atom_site_fract_z
_atom_site_occupancy
Pu1 Pu 0.000 0.111 0.250 1
Pu2 Pu 0.000 0.369 0.042 1
Bi1 Bi 0.000 0.223 0.750 1
Se1 Se 0.000 0.000 0.000 1
Se2 Se 0.000 0.487 0.750 1


It turns out arrangement i is the most stable, with the second structure 18.4 kJ/mol of atoms higher.


Arrangement i

# Pu2SiBi (PBE, relaxed)
# - Fermi-level density of states (states/eV/f.u.) = 10.43
data_Pu2SiBi
_chemical_formula_sum 'Pu2 Si1 Bi1'
_space_group_name_H-M_alt 'P 4/m m m'
_space_group_IT_number 123
_space_group_name_Hall '-P 4 2'
_cell_length_a 4.737
_cell_length_b 4.737
_cell_length_c 4.374
_cell_angle_alpha 90.00
_cell_angle_beta 90.00
_cell_angle_gamma 90.00
loop_
_atom_site_label
_atom_site_type_symbol
_atom_site_fract_x
_atom_site_fract_y
_atom_site_fract_z
_atom_site_occupancy
Pu1 Pu 0.000 0.500 0.000 1
Si1 Si 0.000 0.000 0.500 1
Bi1 Bi 0.500 0.500 0.500 1


Arrangement ii

# Pu2SiBi (PBE, relaxed)
# - Fermi-level density of states (states/eV/f.u.) = 15.72
data_Pu2SiBi
_chemical_formula_sum 'Pu6 Si3 Bi3'
_space_group_name_H-M_alt 'R -3 m'
_space_group_IT_number 166
_space_group_name_Hall '-R 3 2"'
_cell_length_a 4.8673
_cell_length_b 4.8673
_cell_length_c 15.4040
_cell_angle_alpha 90.00
_cell_angle_beta 90.00
_cell_angle_gamma 120.00
loop_
_atom_site_label
_atom_site_type_symbol
_atom_site_fract_x
_atom_site_fract_y
_atom_site_fract_z
_atom_site_occupancy
Pu1 Pu 0.0000 0.0000 0.2293 1
Si1 Si 0.0000 0.0000 0.5000 1
Bi1 Bi 0.0000 0.0000 0.0000 1


It turns out arrangement i is the most stable, with the second structure 5.6 kJ/mol of atoms higher.


Arrangement i

# Sm2PuBi (PBE, relaxed)
# - Fermi-level density of states (states/eV/f.u.) = 10.57
data_Sm2PuBi
_chemical_formula_sum 'Sm2 Pu1 Bi1'
_space_group_name_H-M_alt 'P 4/m m m'
_space_group_IT_number 123
_space_group_name_Hall '-P 4 2'
_cell_length_a 5.030
_cell_length_b 5.030
_cell_length_c 4.643
_cell_angle_alpha 90.00
_cell_angle_beta 90.00
_cell_angle_gamma 90.00
loop_
_atom_site_label
_atom_site_type_symbol
_atom_site_fract_x
_atom_site_fract_y
_atom_site_fract_z
_atom_site_occupancy
Sm1 Sm 0.000 0.500 0.000 1
Pu1 Pu 0.000 0.000 0.500 1
Bi1 Bi 0.500 0.500 0.500 1


Arrangement ii

# Sm2PuBi (PBE, relaxed)
# - Fermi-level density of states (states/eV/f.u.) = 10.35
data_Sm2PuBi
_chemical_formula_sum 'Sm6 Pu3 Bi3'
_space_group_name_H-M_alt 'R -3 m'
_space_group_IT_number 166
_space_group_name_Hall '-R 3 2"'
_cell_length_a 3.6107
_cell_length_b 3.6107
_cell_length_c 33.2078
_cell_angle_alpha 90.00
_cell_angle_beta 90.00
_cell_angle_gamma 120.00
loop_
_atom_site_label
_atom_site_type_symbol
_atom_site_fract_x
_atom_site_fract_y
_atom_site_fract_z
_atom_site_occupancy
Sm1 Sm 0.0000 0.0000 0.2487 1
Pu1 Pu 0.0000 0.0000 0.0000 1
Bi1 Bi 0.0000 0.0000 0.5000 1


It turns out arrangement i is the most stable, with the second structure 19.9 kJ/mol of atoms higher.


Arrangement i

# Pu2SnBi4 (PBE, relaxed)
# - Fermi-level density of states (states/eV/f.u.) = 23.22
data_Pu2SnBi4
_chemical_formula_sum 'Pu2 Sn1 Bi4'
_space_group_name_H-M_alt 'P -4 m 2'
_space_group_IT_number 115
_cell_length_a 4.651
_cell_length_b 4.651
_cell_length_c 10.115
_cell_angle_alpha 90.00
_cell_angle_beta 90.00
_cell_angle_gamma 90.00
loop_
_space_group_symop_operation_xyz
'x,y,z'
'y,-x,-z'
'-x,-y,z'
'-y,x,-z'
'-x,y,z'
'-y,-x,-z'
'x,-y,z'
'y,x,-z'
loop_
_atom_site_label
_atom_site_type_symbol
_atom_site_fract_x
_atom_site_fract_y
_atom_site_fract_z
_atom_site_occupancy
Pu1 Pu 0.000 0.500 0.248 1
Sn1 Sn 0.500 0.500 0.000 1
Bi1 Bi 0.000 0.000 0.500 1
Bi2 Bi 0.000 0.500 0.799 1
Bi3 Bi 0.500 0.500 0.500 1


Arrangement ii

# Pu2SnBi4 (PBE, relaxed)
# - Fermi-level density of states (states/eV/f.u.) = 22.54
data_Pu2SnBi4
_chemical_formula_sum 'Pu8 Sn4 Bi16'
_space_group_name_H-M_alt 'F m m m'
_space_group_IT_number 69
_space_group_name_Hall '-F 2 2'
_cell_length_a 9.229
_cell_length_b 9.709
_cell_length_c 9.802
_cell_angle_alpha 90.00
_cell_angle_beta 90.00
_cell_angle_gamma 90.00
loop_
_atom_site_label
_atom_site_type_symbol
_atom_site_fract_x
_atom_site_fract_y
_atom_site_fract_z
_atom_site_occupancy
Pu1 Pu 0.000 0.250 0.250 1
Sn1 Sn 0.000 0.000 0.000 1
Bi1 Bi 0.250 0.000 0.250 1
Bi2 Bi 0.250 0.250 0.000 1


It turns out arrangement ii is the most stable, with the second structure 2.8 kJ/mol of atoms higher.